(1)
Here is a relaxed SmSc4Te6 crystal from the Alexandria database. Energies are from PBE-GGA.

theoretical density	6.0	g/cm3
formation energy from raw total energies	-1232	meV per atom
E_tot	-5.6775	eV/atom
magnetization	0.00	μB per formula unit

The structure in extended XYZ format:
```
22
Lattice="2.079 -6.858 0.000 2.079 6.858 0.000 0.000 0.000 21.424" Properties=species:S:1:pos:R:3 pbc="T T T"
Sm 2.079 4.787 16.068
Sm 2.079 -4.787 5.356
Sc 2.079 5.582 2.633
Sc 2.079 5.582 8.079
Sc 2.079 2.003 0.729
Sc 2.079 2.003 9.983
Sc 2.079 -2.003 11.442
Sc 2.079 -2.003 20.695
Sc 2.079 -5.582 13.346
Sc 2.079 -5.582 18.791
Te 0.000 0.000 0.000
Te 0.000 0.000 10.712
Te 2.079 4.416 5.356
Te 2.079 3.223 12.683
Te 2.079 3.223 19.454
Te 2.079 0.659 3.404
Te 2.079 0.659 7.308
Te 2.079 -0.659 14.116
Te 2.079 -0.659 18.021
Te 2.079 -3.223 1.971
Te 2.079 -3.223 8.742
Te 2.079 -4.416 16.068
```

---

(2)
Here is a relaxed Re2NiBr crystal from the Alexandria database. Energies are from PBE-GGA.

theoretical density	13.8	g/cm3
formation energy from raw total energies	1059	meV per atom
E_tot	-7.0283	eV/atom
magnetization	0.00	μB per formula unit
energy above the most stable polymorph in this dataset	2.35	eV/f.u.

The structure in extended XYZ format:
```
4
Lattice="-1.461 2.201 4.778 1.461 -2.201 4.778 1.461 2.201 -4.778" Properties=species:S:1:pos:R:3 pbc="T T T"
Re 0.000 0.000 2.214
Re 0.000 0.000 7.343
Ni 0.000 2.201 0.000
Br 1.461 0.000 0.000
```

---

(3)
Here is a relaxed Nb2PdF crystal from the Alexandria database. Energies are from PBE-GGA.

theoretical density	7.1	g/cm3
formation energy from raw total energies	-48	meV per atom
E_tot	-6.8489	eV/atom
magnetization	0.00	μB per formula unit
energy above the most stable polymorph in this dataset	0.96	eV/f.u.

The structure in extended XYZ format:
```
8
Lattice="-2.261 2.261 7.113 2.261 -2.261 7.113 2.261 2.261 -7.113" Properties=species:S:1:pos:R:3 pbc="T T T"
Nb 3.392 0.777 -1.778
Nb 0.777 1.131 1.778
Nb -1.131 1.484 5.335
Nb 1.484 1.131 8.892
Pd 2.261 0.000 3.557
Pd 0.000 0.000 7.113
F 0.000 0.000 0.000
F 0.000 2.261 3.557
```

---

(4)
Here is a relaxed Ag2HgAuF8 crystal from the Alexandria database. Energies are from PBE-GGA.

theoretical density	6.6	g/cm3
formation energy from raw total energies	-1161	meV per atom
E_tot	-3.1824	eV/atom
magnetization	1.06	μB per formula unit

The structure in extended XYZ format:
```
12
Lattice="4.091 0.000 0.000 0.116 5.394 0.000 0.423 0.176 8.730" Properties=species:S:1:pos:R:3 pbc="T T T"
Ag 0.325 2.656 2.313
Ag 4.305 2.914 6.417
Hg 2.257 0.088 4.365
Au 2.045 0.000 0.000
F 0.402 1.371 4.897
F 0.574 1.233 0.579
F 1.920 4.186 1.568
F 2.136 3.971 5.987
F 2.494 1.599 2.742
F 2.710 1.384 7.162
F 4.056 4.337 8.151
F 4.228 4.200 3.833
```

---

(5)
Here is a relaxed Pm2SmSe4 crystal from the Alexandria database. Energies are from PBE-GGA.

theoretical density	5.9	g/cm3
formation energy from raw total energies	-1831	meV per atom
E_tot	-5.8534	eV/atom
magnetization	0.00	μB per formula unit
energy above the most stable polymorph in this dataset	0.16	eV/f.u.

The structure in extended XYZ format:
```
7
Lattice="7.672 -2.108 0.000 7.672 2.108 0.000 -3.301 0.000 6.618" Properties=species:S:1:pos:R:3 pbc="T T T"
Pm 2.789 0.000 1.463
Pm 9.253 0.000 5.154
Sm 6.021 0.000 3.309
Se 0.453 0.000 3.305
Se 5.582 0.000 0.414
Se 6.461 0.000 6.203
Se 11.589 0.000 3.312
```

---

(6)
Here is a relaxed CdNF crystal from the Alexandria database. Energies are from PBE-GGA.

theoretical density	4.4	g/cm3
formation energy from raw total energies	-941	meV per atom
E_tot	-4.6452	eV/atom
magnetization	0.00	μB per formula unit

The structure in extended XYZ format:
```
12
Lattice="10.736 0.000 0.000 0.000 3.155 0.000 -0.062 0.000 6.533" Properties=species:S:1:pos:R:3 pbc="T T T"
Cd 1.255 0.786 0.023
Cd 1.224 0.791 3.289
Cd 9.450 2.364 3.244
Cd 9.419 2.369 6.510
N 4.841 0.177 0.022
N 4.810 1.401 3.288
N 5.864 1.754 3.245
N 5.834 2.979 6.511
F 2.170 2.367 1.660
F 2.140 2.367 4.927
F 8.535 0.789 1.606
F 8.504 0.789 4.873
```

---

(7)
Here is a relaxed LiCrBiAs2 crystal from the Alexandria database. Energies are from PBE-GGA.

theoretical density	4.3	g/cm3
E_tot	-4.0328	eV/atom
magnetization	3.68	μB per formula unit
ΔH_f (0 K)	0.9106	eV/atom

The structure in extended XYZ format:
```
5
Lattice="5.589 0.000 0.000 0.000 5.589 0.000 0.000 0.000 5.193" Properties=species:S:1:pos:R:3 pbc="T T T"
Li 0.000 0.000 0.000
Cr 2.795 2.795 0.000
Bi 2.795 2.795 2.596
As 0.000 2.795 2.596
As 2.795 0.000 2.596
```

---

(8)
Here is a relaxed Ca3Pd8Pb4 crystal from the Alexandria database. Energies are from PBE-GGA.

theoretical density	9.6	g/cm3
E_tot	-4.6433	eV/atom
magnetization	0.00	μB per formula unit
ΔH_f (0 K)	-0.4846	eV/atom

The structure in extended XYZ format:
```
30
Lattice="0.000 6.772 6.772 6.772 0.000 6.772 6.772 6.772 0.000" Properties=species:S:1:pos:R:3 pbc="T T T"
Ca 6.772 6.772 3.140
Ca 6.772 3.140 6.772
Ca 10.404 6.772 6.772
Ca 3.140 6.772 6.772
Ca 6.772 10.404 6.772
Ca 6.772 6.772 10.404
Pd 8.414 5.130 5.130
Pd 2.298 2.298 2.298
Pd 4.474 4.474 2.298
Pd 4.474 2.298 4.474
Pd 5.130 5.130 5.130
Pd 8.414 8.414 5.130
Pd 8.414 5.130 8.414
Pd 2.298 4.474 4.474
Pd 11.246 9.070 9.070
Pd 5.130 8.414 5.130
Pd 5.130 5.130 8.414
Pd 8.414 8.414 8.414
Pd 9.070 11.246 9.070
Pd 9.070 9.070 11.246
Pd 11.246 11.246 11.246
Pd 5.130 8.414 8.414
Pb 0.000 0.000 0.000
Pb 3.386 3.386 0.000
Pb 3.386 0.000 3.386
Pb 6.772 3.386 3.386
Pb 0.000 3.386 3.386
Pb 3.386 6.772 3.386
Pb 3.386 3.386 6.772
Pb 6.772 6.772 6.772
```